Below is a relaxed structure of PmAl3CoOs, with properties calculated at the PBE level.

a b c (Å): 6.470 6.470 5.706
angles (deg): 90.00 90.00 107.92
Fractional positions:
Pm 0.218 0.782 0.750
Pm 0.782 0.218 0.250
Al 0.250 0.250 0.000
Al 0.250 0.250 0.500
Al 0.309 0.691 0.250
Al 0.691 0.309 0.750
Al 0.750 0.750 0.000
Al 0.750 0.750 0.500
Co 0.478 0.522 0.750
Co 0.522 0.478 0.250
Os 0.079 0.921 0.250
Os 0.921 0.079 0.750

Computed properties:
Raw total energy in eV/atom: -5.9678
Crystal system: orthorhombic
SG: Cmcm
Formation enthalpy at 0 K in eV/f.u.: -1.49
Volume in Å³ per cell: 227

Below is a relaxed structure of PuAlCoOs, with properties calculated at the PBE level.

a b c (Å): 4.493 4.493 4.493
angles (deg): 60.00 60.00 60.00
Fractional positions:
Pu 0.000 0.000 0.000
Al 0.500 0.500 0.500
Co 0.750 0.750 0.750
Os 0.250 0.250 0.250

Computed properties:
Raw total energy in eV/atom: -9.2582
Crystal system: cubic
SG: F-43m
Formation enthalpy at 0 K in eV/f.u.: -0.62
Volume in Å³ per cell: 64